CaAl2V4O8: optimized geometry, GGA+U.

Results
D(E_F)   0.042 states/eV per atom
Calculated total energy   -7.307 eV/atom

Geometry as POSCAR:
```
CaAl2V4O8
1.0
5.325 -3.078 0.000
5.325 3.078 0.000
-3.536 0.000 5.050
Ca Al V O
1 2 4 8
direct
0.000 0.000 0.000 Ca
0.000 0.500 0.000 Al
0.500 0.000 0.000 Al
0.000 0.500 0.500 V
0.500 0.000 0.500 V
0.500 0.500 0.000 V
0.500 0.500 0.500 V
0.232 0.701 0.215 O
0.255 0.255 0.778 O
0.256 0.256 0.241 O
0.299 0.768 0.785 O
0.701 0.232 0.215 O
0.744 0.744 0.759 O
0.745 0.745 0.222 O
0.768 0.299 0.785 O
```